# Mn3Tc4

An optimized crystal structure of Mn3Tc4 (PBE, Alexandria via LeMat-Bulk).

The structure in POSCAR format:
```
Mn3Tc4
1.0
-1.519 1.519 10.230
1.519 -1.519 10.230
1.519 1.519 -10.230
Tc Mn
4 3
direct
0.429 0.429 0.000
0.149 0.149 0.000
0.851 0.851 0.000
0.571 0.571 0.000
0.000 0.000 0.000
0.282 0.282 0.000
0.718 0.718 0.000
```

Calculated values
Energy above the lowest structure with this stoichiometry, eV per atom: 0.121
DFT formation energy, eV per atom: 0.1131
DOS(E_F), states/eV/atom: 1.147
Raw total energy, eV for the cell shown: -68.2
Crystal system: tetragonal